Record 1
Material: YRu3I
Method: DFT, PBE
State: relaxed

The calculation puts the density at 7.80 g cm⁻³. The value obtained for the energy relative to the elements, uncorrected is 1023 meV/atom. The energy above the most stable polymorph in this dataset comes out at 0.0 meV per atom.

The space group is Pm-3m (No. 221) and the conventional cell measures 4.798, 4.798 and 4.798 Å, with angles of 90.00, 90.00 and 90.00 degrees. The asymmetric unit holds Y at (0.000, 0.000, 0.000), Ru at (0.000, 0.500, 0.500) and I at (0.500, 0.500, 0.500).

***

Record 2
Material: Tl2CoMo
Method: DFT, PBE
State: relaxed

The calculation puts the density at 12.72 g cm⁻³. The formation energy is 0.88 eV/atom. The energy above the most stable polymorph in this dataset comes out at 437.2 meV per atom.

The space group is Fm-3m (No. 225) and the conventional cell measures 6.653, 6.653 and 6.653 Å, with angles of 90.00, 90.00 and 90.00 degrees. The asymmetric unit holds Tl at (0.250, 0.250, 0.250), Co at (0.000, 0.000, 0.000) and Mo at (0.000, 0.000, 0.500).

***

Record 3
Material: Dy2S2F
Method: DFT, PBE
State: relaxed

The calculation puts the density at 4.61 g cm⁻³. The value obtained for the energy relative to the elements, uncorrected is -644 meV/atom.

The space group is P4/mmm (No. 123) and the conventional cell measures 3.255, 3.255 and 13.867 Å, with angles of 90.00, 90.00 and 90.00 degrees. The asymmetric unit holds Dy at (0.000, 0.000, 0.160), S at (0.000, 0.000, 0.344) and F at (0.000, 0.000, 0.000).

***

Record 4
Material: Ag3Te4Au2
Method: DFT, PBE
State: relaxed

The calculation puts the density at 8.36 g cm⁻³. The value obtained for the energy relative to the elements, uncorrected is 27 meV/atom.

The space group is C2/c (No. 15) and the conventional cell measures 11.684, 12.128 and 6.921 Å, with angles of 90.00, 95.75 and 90.00 degrees. The asymmetric unit holds Ag at (0.000, 0.154, 0.250), Ag at (0.110, 0.357, 0.872), Te at (0.103, 0.337, 0.469), Te at (0.167, 0.093, 0.992) and Au at (0.154, 0.124, 0.584).

***

Record 5
Material: SrLi10Ca
Method: DFT, PBE
State: relaxed

The calculation puts the density at 1.07 g cm⁻³. The formation energy is 0.02 eV/atom.

The space group is Pmmm (No. 47) and the conventional cell measures 4.628, 6.169 and 10.669 Å, with angles of 90.00, 90.00 and 90.00 degrees. The asymmetric unit holds Sr at (0.000, 0.000, 0.000), Li at (0.000, 0.000, 0.339), Li at (0.000, 0.500, 0.173), Li at (0.500, 0.000, 0.500), Li at (0.500, 0.255, 0.259), Li at (0.500, 0.500, 0.000) and Ca at (0.000, 0.500, 0.500).

***

Record 6
Material: LiAcCuHg
Method: DFT, PBE
State: relaxed

The calculation puts the density at 8.18 g cm⁻³. The formation energy is -0.15 eV/atom.

The space group is F-43m (No. 216) and the conventional cell measures 7.396, 7.396 and 7.396 Å, with angles of 90.00, 90.00 and 90.00 degrees. The asymmetric unit holds Li at (0.000, 0.000, 0.000), Ac at (0.000, 0.000, 0.500), Cu at (0.250, 0.250, 0.750) and Hg at (0.250, 0.250, 0.250).

***

Record 7
Material: AcErThTl
Method: DFT, PBE
State: relaxed

The calculation puts the density at 10.87 g cm⁻³. The formation energy is 0.12 eV/atom.

The space group is F-43m (No. 216) and the conventional cell measures 7.977, 7.977 and 7.977 Å, with angles of 90.00, 90.00 and 90.00 degrees. The asymmetric unit holds Ac at (0.000, 0.000, 0.000), Er at (0.250, 0.250, 0.250), Th at (0.250, 0.250, 0.750) and Tl at (0.000, 0.000, 0.500).

***

Record 8
Material: RuWCl2
Method: DFT, PBE
State: relaxed

The calculation puts the density at 6.58 g cm⁻³. The value obtained for the energy relative to the elements, uncorrected is 222 meV/atom. The energy above the most stable polymorph in this dataset comes out at 419.8 meV per atom.

The space group is C2/m (No. 12) and the conventional cell measures 13.585, 2.956 and 4.497 Å, with angles of 90.00, 96.26 and 90.00 degrees. The asymmetric unit holds Ru at (0.000, 0.000, 0.000), W at (0.000, 0.500, 0.500) and Cl at (0.138, 0.000, 0.710).

***

Record 9
Material: Pm3Tl2Pd3
Method: DFT, PBE
State: relaxed

The calculation puts the density at 9.93 g cm⁻³. The formation energy is -0.56 eV/atom.

The space group is Immm (No. 71) and the conventional cell measures 3.687, 5.107 and 20.661 Å, with angles of 90.00, 90.00 and 90.00 degrees. The asymmetric unit holds Pm at (0.000, 0.000, 0.000), Pm at (0.000, 0.500, 0.123), Tl at (0.000, 0.000, 0.229), Pd at (0.000, 0.000, 0.500) and Pd at (0.000, 0.500, 0.387).

***

Record 10
Material: InHgBi2Pb4
Method: DFT, PBE
State: relaxed

The calculation puts the density at 9.83 g cm⁻³. The formation energy is 0.10 eV/atom.

The space group is P2/m (No. 10) and the conventional cell measures 7.365, 4.584 and 8.325 Å, with angles of 90.00, 110.09 and 90.00 degrees. The asymmetric unit holds In at (0.000, 0.000, 0.000), Hg at (0.000, 0.500, 0.500), Bi at (0.500, 0.000, 0.500), Bi at (0.500, 0.500, 0.000), Pb at (0.238, 0.000, 0.747) and Pb at (0.238, 0.500, 0.248).

***

Record 11
Material: Hf2Zr5Sc2
Method: DFT, PBE
State: relaxed

The calculation puts the density at 7.01 g cm⁻³. The formation energy is 0.22 eV/atom. The energy above the most stable polymorph in this dataset comes out at 183.6 meV per atom.

The space group is Ima2 (No. 46) and the conventional cell measures 13.251, 10.830 and 5.960 Å, with angles of 90.00, 90.00 and 90.00 degrees. The asymmetric unit holds Hf at (0.000, 0.000, 0.000), Hf at (0.250, 0.019, 0.004), Zr at (0.055, 0.246, 0.685), Zr at (0.142, 0.714, 0.358), Zr at (0.250, 0.213, 0.375) and Sc at (0.123, 0.515, 0.995).

***

Record 12
Material: PrInTe3
Method: DFT, PBE
State: relaxed

The calculation puts the density at 6.02 g cm⁻³. The value obtained for the energy relative to the elements, uncorrected is -790 meV/atom.

The space group is P2_1/c (No. 14) and the conventional cell measures 7.794, 8.101 and 12.734 Å, with angles of 90.00, 118.81 and 90.00 degrees. The asymmetric unit holds Pr at (0.158, 0.129, 0.215), In at (0.259, 0.649, 0.120), Te at (0.099, 0.198, 0.936), Te at (0.245, 0.673, 0.897) and Te at (0.470, 0.058, 0.818).